No. 1
Here is Cs2LiAuF6 after structural relaxation from the Open Quantum Materials Database. Energies are from PBE.

Lattice parameters (Å, degrees): 5.892 5.892 5.893 119.96 119.96 60.06
Fractional positions:
Cs  0.250  0.250  0.750
Cs  0.750  0.750  0.250
Au  0.000  0.000  0.000
F  0.257  0.257  0.257
F  0.744  0.257  0.743
F  0.256  0.743  0.257
F  0.257  0.744  0.743
F  0.743  0.743  0.743
F  0.743  0.256  0.257
Li  0.500  0.500  0.500

**Raw total energy**: -3.7919 eV/atom
**Energy above the most stable polymorph in this dataset**: 23 meV per atom

***

No. 2
Here is Nd3Mg3In2Pd after structural relaxation from the Open Quantum Materials Database. Energies are from PBE.

Lattice parameters (Å, degrees): 7.676 7.676 4.613 90.00 90.00 120.00
Fractional positions:
Mg  0.230  0.000  0.500
Mg  0.000  0.230  0.500
Mg  0.770  0.770  0.500
In  0.333  0.667  0.500
In  0.667  0.333  0.500
Nd  0.000  0.597  0.000
Nd  0.403  0.403  0.000
Nd  0.597  0.000  0.000
Pd  0.000  0.000  0.000

**Magnetic moment**: 0.0 μB/f.u.
**Raw total energy**: -3.7714 eV/atom

***

No. 3
Here is LaHfRe after structural relaxation from the Open Quantum Materials Database. Energies are from PBE.

Lattice parameters (Å, degrees): 4.743 4.743 4.743 60.00 60.00 60.00
Fractional positions:
Re  0.000  0.000  0.000
Hf  0.250  0.250  0.250
La  0.750  0.750  0.750

**Magnetic moment**: 0.0 μB/f.u.
**Raw total energy**: -8.8143 eV/atom
**Formation enthalpy at 0 K**: 0.2859 eV per atom

***

No. 4
Here is PrNdCu2Pb after structural relaxation from the Open Quantum Materials Database. Energies are from PBE.

Lattice parameters (Å, degrees): 3.769 7.547 7.547 33.59 90.00 90.00
Fractional positions:
Cu  0.500  0.796  0.796
Cu  0.500  0.206  0.206
Pb  0.500  0.999  0.999
Pr  0.000  0.631  0.631
Nd  0.000  0.368  0.368

**Magnetic moment**: 0.0 μB/f.u.
**Raw total energy**: -4.4811 eV/atom